<P>
This record from Alexandria describes a relaxed structure of TlTeIrN2. The functional is PBE.

POSCAR file:
```
TlTeIrN2
1.0
4.1004 0.0000 0.0000
0.0000 4.1004 0.0000
0.0000 0.0000 6.7224
Tl Ir Te N
1 1 1 2
direct
0.0000 0.0000 0.0000
0.5000 0.5000 0.5000
0.0000 0.0000 0.5000
0.0000 0.5000 0.0000
0.5000 0.0000 0.0000
```

Calculated values
- crystal system = tetragonal
- space group = P4/mmm, No. 123
- V (Å³/cell) = 113
- DOS at the Fermi energy (states/eV per cell) = 2.8

<Q>
This record from Alexandria describes a relaxed structure of TlTeIrN2. The functional is PBE.

POSCAR file:
```
TlTeIrN2
1.0
-2.1382 -0.5522 -3.3212
3.0270 -2.0378 -1.6100
-2.1529 -4.9422 2.2077
Tl Ir Te N
1 1 1 2
direct
0.5000 0.5000 0.5000
0.0000 0.0000 0.0000
0.0000 0.0000 0.5000
0.0000 0.5000 0.0000
0.5000 0.0000 0.0000
```

Calculated values
- crystal system = tetragonal
- space group = P4/mmm, No. 123
- V (Å³/cell) = 93
- DOS at the Fermi energy (states/eV per cell) = 2.8

Energetically preferred structure: <Q> | next structure: +1324 meV/atom

<P>
This record from Alexandria describes a relaxed structure of VTeIrN2. The functional is PBE.

POSCAR file:
```
VTeIrN2
1.0
-2.9534 2.1644 0.8321
-0.0230 -1.3748 3.4942
4.2684 5.0498 2.0150
N Ir Te V
2 1 1 1
direct
0.0000 0.5000 0.0000
0.5000 0.0000 0.0000
0.0000 0.0000 0.0000
0.0000 0.0000 0.5000
0.5000 0.5000 0.5000
```

Calculated values
- crystal system = tetragonal
- space group = P4/mmm, No. 123
- V (Å³/cell) = 97
- DOS at the Fermi energy (states/eV per cell) = 8.0

<Q>
This record from Alexandria describes a relaxed structure of VTeIrN2. The functional is PBE.

POSCAR file:
```
VTeIrN2
1.0
-0.6150 -0.3685 -3.6898
2.2015 -3.0461 -0.0627
-4.6270 -3.3668 1.1074
N Ir Te V
2 1 1 1
direct
0.0000 0.5000 0.0000
0.5000 0.0000 0.0000
0.5000 0.5000 0.5000
0.0000 0.0000 0.5000
0.0000 0.0000 0.0000
```

Calculated values
- crystal system = tetragonal
- space group = P4/mmm, No. 123
- V (Å³/cell) = 82
- DOS at the Fermi energy (states/eV per cell) = 3.9

Energetically preferred structure: <Q> | next structure: +271 meV/atom

<P>
This record from Alexandria describes a relaxed structure of TeIrWN2. The functional is PBE.

POSCAR file:
```
TeIrWN2
1.0
-1.0258 2.7125 2.5706
-2.7938 -2.3271 1.3407
3.7847 -2.2846 3.9210
Ir Te W N
1 1 1 2
direct
0.5000 0.5000 0.5000
0.0000 0.0000 0.5000
0.0000 0.0000 0.0000
0.0000 0.5000 0.0000
0.5000 0.0000 0.0000
```

Calculated values
- crystal system = tetragonal
- space group = P4/mmm, No. 123
- V (Å³/cell) = 89
- DOS at the Fermi energy (states/eV per cell) = 2.8

<Q>
This record from Alexandria describes a relaxed structure of TeIrWN2. The functional is PBE.

POSCAR file:
```
TeIrWN2
1.0
-2.5456 2.0577 -1.9201
-2.0078 0.4866 3.1833
3.8464 6.1458 1.4867
Ir Te W N
1 1 1 2
direct
0.0000 0.0000 0.0000
0.0000 0.0000 0.5000
0.5000 0.5000 0.5000
0.0000 0.5000 0.0000
0.5000 0.0000 0.0000
```

Calculated values
- crystal system = tetragonal
- space group = P4/mmm, No. 123
- V (Å³/cell) = 107
- DOS at the Fermi energy (states/eV per cell) = 3.3

Energetically preferred structure: <P> | next structure: +642 meV/atom

<P>
This record from Alexandria describes a relaxed structure of Te2IrWN. The functional is PBE.

POSCAR file:
```
Te2IrWN
1.0
-0.7298 5.3124 -0.7873
-5.3689 -0.7402 -0.0181
-0.0839 0.5211 3.5940
Ir Te W N
1 2 1 1
direct
0.0000 0.0000 0.0000
0.0000 0.5000 0.0000
0.5000 0.0000 0.0000
0.5000 0.5000 0.5000
0.0000 0.0000 0.5000
```

Calculated values
- crystal system = tetragonal
- space group = P4/mmm, No. 123
- V (Å³/cell) = 107
- DOS at the Fermi energy (states/eV per cell) = 3.1

<Q>
This record from Alexandria describes a relaxed structure of Te2IrWN. The functional is PBE.

POSCAR file:
```
Te2IrWN
1.0
5.3240 0.0000 0.0000
0.0000 5.3240 0.0000
0.0000 0.0000 3.7411
Ir Te W N
1 2 1 1
direct
0.5000 0.5000 0.5000
0.0000 0.5000 0.0000
0.5000 0.0000 0.0000
0.0000 0.0000 0.0000
0.0000 0.0000 0.5000
```

Calculated values
- crystal system = tetragonal
- space group = P4/mmm, No. 123
- V (Å³/cell) = 106
- DOS at the Fermi energy (states/eV per cell) = 3.8

Energetically preferred structure: <Q> | next structure: +151 meV/atom

<P>
This record from Alexandria describes a relaxed structure of YTe2IrN. The functional is PBE.

POSCAR file:
```
YTe2IrN
1.0
-2.6910 1.7067 -4.5365
-4.8197 -1.4914 2.2979
-0.3472 3.4238 1.4940
Y Ir Te N
1 1 2 1
direct
0.5000 0.5000 0.5000
0.0000 0.0000 0.0000
0.0000 0.5000 0.0000
0.5000 0.0000 0.0000
0.0000 0.0000 0.5000
```

Calculated values
- crystal system = tetragonal
- space group = P4/mmm, No. 123
- V (Å³/cell) = 115
- DOS at the Fermi energy (states/eV per cell) = 2.9

<Q>
This record from Alexandria describes a relaxed structure of YTe2IrN. The functional is PBE.

POSCAR file:
```
YTe2IrN
1.0
-2.1542 4.8348 2.4310
0.8506 -2.2815 5.2912
3.6272 1.5691 0.0935
Y Ir Te N
1 1 2 1
direct
0.0000 0.0000 0.0000
0.5000 0.5000 0.5000
0.0000 0.5000 0.0000
0.5000 0.0000 0.0000
0.0000 0.0000 0.5000
```

Calculated values
- crystal system = tetragonal
- space group = P4/mmm, No. 123
- V (Å³/cell) = 134
- DOS at the Fermi energy (states/eV per cell) = 6.7

Energetically preferred structure: <P> | next structure: +1313 meV/atom

<P>
This record from Alexandria describes a relaxed structure of ZnTe2IrN. The functional is PBE.

POSCAR file:
```
ZnTe2IrN
1.0
5.3227 0.0000 0.0000
0.0000 5.3227 0.0000
0.0000 0.0000 3.4823
Zn Ir Te N
1 1 2 1
direct
0.0000 0.0000 0.0000
0.5000 0.5000 0.5000
0.0000 0.5000 0.0000
0.5000 0.0000 0.0000
0.0000 0.0000 0.5000
```

Calculated values
- crystal system = tetragonal
- space group = P4/mmm, No. 123
- V (Å³/cell) = 99
- DOS at the Fermi energy (states/eV per cell) = 3.6

<Q>
This record from Alexandria describes a relaxed structure of ZnTe2IrN. The functional is PBE.

POSCAR file:
```
ZnTe2IrN
1.0
-3.3153 1.4558 -4.2421
-2.7621 -4.8189 0.5049
-2.3074 1.5679 2.3413
Zn Ir Te N
1 1 2 1
direct
0.5000 0.5000 0.5000
0.0000 0.0000 0.0000
0.0000 0.5000 0.0000
0.5000 0.0000 0.0000
0.0000 0.0000 0.5000
```

Calculated values
- crystal system = tetragonal
- space group = P4/mmm, No. 123
- V (Å³/cell) = 113
- DOS at the Fermi energy (states/eV per cell) = 3.9

Energetically preferred structure: <Q> | next structure: +833 meV/atom